YPbBr2 | PBE-GGA | relaxed

The structure in POSCAR format:
```
YPbBr2
1.0
-0.601 -1.843 5.548
-3.585 -4.655 0.111
4.767 1.180 -3.227
Br Y Pb
2 1 1
Direct
0.000 0.000 0.000
0.500 0.500 0.000
0.750 0.250 0.500
0.250 0.750 0.500
```

Values from the calculation:
For the formation energy from raw total energies, the calculation gives -660 meV per atom. The value obtained for the density is 6.8 g/cm3. As for the energy above the lowest structure with this stoichiometry: 365 meV per atom. As for the total energy: -4.0400 eV/atom.



KMnAs3 | PBE-GGA | relaxed

The structure in POSCAR format:
```
KMnAs3
1.0
-4.801 -0.110 -0.706
-0.214 -4.353 2.136
-0.682 2.144 4.301
Mn As K
1 3 1
Direct
0.000 0.000 0.000
0.000 0.000 0.500
0.000 0.500 0.000
0.500 0.000 0.000
0.500 0.500 0.500
```

Values from the calculation:
The formation energy from the elements is 0.07 eV per atom. The value obtained for the density is 4.6 g/cm3. As for the energy above the lowest structure with this stoichiometry: 0 meV per atom. As for the total energy: -4.7773 eV/atom.



NiAg2Ge2 | PBE-GGA | relaxed

The structure in POSCAR format:
```
NiAg2Ge2
1.0
3.731 0.000 0.000
0.000 3.731 0.000
1.865 1.865 6.615
Ag Ge Ni
2 2 1
Direct
0.250 0.750 0.500
0.750 0.250 0.500
0.591 0.591 0.817
0.409 0.409 0.183
0.000 0.000 0.000
```

Values from the calculation:
The formation energy from the elements is 0.47 eV per atom. The value obtained for the density is 7.6 g/cm3. As for the energy above the lowest structure with this stoichiometry: 372 meV per atom. As for the total energy: -3.6781 eV/atom.



Pa4PtSe5 | PBE-GGA | relaxed

The structure in POSCAR format:
```
Pa4PtSe5
1.0
4.071 0.000 0.000
0.000 8.191 -0.529
-2.035 -1.719 8.774
Se Pa Pt
5 4 1
Direct
0.832 0.156 0.663
0.500 0.500 0.000
0.168 0.844 0.337
0.165 0.339 0.331
0.835 0.661 0.669
0.334 0.902 0.668
0.000 0.241 0.999
0.000 0.759 0.001
0.666 0.098 0.332
0.500 0.000 0.000
```

Values from the calculation:
For the formation energy from raw total energies, the calculation gives -1173 meV per atom. The value obtained for the density is 8.7 g/cm3. As for the total energy: -7.3176 eV/atom.



no.,size of the total moment (μB/cell)
1,0.0
2,2.4
3,0.0
4,3.1